DFT (PBE) results for crystalline Tm3MgIn2 at its relaxed geometry.

```
data_Tm3MgIn2
_cell_length_a 3.9494
_cell_length_b 5.0788
_cell_length_c 8.1018
_cell_angle_alpha 108.27
_cell_angle_beta 90.00
_cell_angle_gamma 90.00
_space_group_name_H-M_alt 'P 1'
_space_group_IT_number 1
_space_group_name_Hall 'P 1'
loop_
_atom_site_label
_atom_site_fract_x
_atom_site_fract_y
_atom_site_fract_z
Tm1 0.5000 0.8305 0.6611
Tm2 0.5000 0.5000 0.0000
Tm3 0.5000 0.1695 0.3389
In1 0.0000 0.3410 0.6821
In2 0.0000 0.6590 0.3179
Mg1 0.0000 0.0000 0.0000
```

Values from the calculation:
* energy above the lowest structure with this stoichiometry: 0.0000 eV/atom
* symmetry: No. 65
* M_tot: 0.0 Bohr magnetons per cell

***

DFT (PBE) results for crystalline Tm4Mg5In2 at its relaxed geometry.

```
data_Tm4Mg5In2
_cell_length_a 3.4620
_cell_length_b 8.0126
_cell_length_c 10.3883
_cell_angle_alpha 94.10
_cell_angle_beta 90.00
_cell_angle_gamma 90.00
_space_group_name_H-M_alt 'P 1'
_space_group_IT_number 1
_space_group_name_Hall 'P 1'
loop_
_atom_site_label
_atom_site_fract_x
_atom_site_fract_y
_atom_site_fract_z
Mg1 0.0000 0.4327 0.7058
Mg2 0.0000 0.5673 0.2942
Mg3 0.0000 0.1971 0.1632
Mg4 0.0000 0.5000 0.0000
Mg5 0.0000 0.8029 0.8368
Tm1 0.5000 0.8422 0.1128
Tm2 0.5000 0.7208 0.5557
Tm3 0.5000 0.1578 0.8872
Tm4 0.5000 0.2792 0.4443
In1 0.0000 0.9417 0.3621
In2 0.0000 0.0583 0.6379
```

Values from the calculation:
* raw total energy: -2.98 eV per atom
* symmetry: No. 10
* M_tot: 0.0 Bohr magnetons per cell

***

DFT (PBE) results for crystalline Tm4MgIn2 at its relaxed geometry.

```
data_Tm4MgIn2
_cell_length_a 5.1916
_cell_length_b 5.1916
_cell_length_c 8.8399
_cell_angle_alpha 72.92
_cell_angle_beta 72.92
_cell_angle_gamma 60.00
_space_group_name_H-M_alt 'P 1'
_space_group_IT_number 1
_space_group_name_Hall 'P 1'
loop_
_atom_site_label
_atom_site_fract_x
_atom_site_fract_y
_atom_site_fract_z
Tm1 0.6156 0.6156 0.1531
Tm2 0.1303 0.1303 0.6090
Tm3 0.3844 0.3844 0.8469
Tm4 0.8697 0.8697 0.3910
Mg1 0.0000 0.0000 0.0000
In1 0.7450 0.7450 0.7650
In2 0.2550 0.2550 0.2350
```

Values from the calculation:
* energy above the lowest structure with this stoichiometry: 0.0000 eV/atom
* symmetry: No. 166
* M_tot: 0.0 Bohr magnetons per cell

***

DFT (PBE) results for crystalline Tm2Mg2In at its relaxed geometry.

```
data_Tm2Mg2In
_cell_length_a 3.3159
_cell_length_b 4.9318
_cell_length_c 8.1545
_cell_angle_alpha 72.40
_cell_angle_beta 90.00
_cell_angle_gamma 90.00
_space_group_name_H-M_alt 'P 1'
_space_group_IT_number 1
_space_group_name_Hall 'P 1'
loop_
_atom_site_label
_atom_site_fract_x
_atom_site_fract_y
_atom_site_fract_z
Tm1 0.5000 0.3927 0.2146
Tm2 0.5000 0.6073 0.7854
Mg1 0.0000 0.2022 0.5957
Mg2 0.0000 0.7978 0.4043
In1 0.0000 0.0000 0.0000
```

Values from the calculation:
* raw total energy: -3.14 eV per atom
* symmetry: No. 65
* M_tot: 0.0 Bohr magnetons per cell

***

DFT (PBE) results for crystalline Tm3Mg4In2 at its relaxed geometry.

```
data_Tm3Mg4In2
_cell_length_a 5.0189
_cell_length_b 6.0563
_cell_length_c 9.4291
_cell_angle_alpha 117.89
_cell_angle_beta 90.00
_cell_angle_gamma 114.48
_space_group_name_H-M_alt 'P 1'
_space_group_IT_number 1
_space_group_name_Hall 'P 1'
loop_
_atom_site_label
_atom_site_fract_x
_atom_site_fract_y
_atom_site_fract_z
Mg1 0.2889 0.5779 0.9558
Mg2 0.0683 0.1367 0.4004
Mg3 0.9317 0.8633 0.5996
Mg4 0.7111 0.4221 0.0442
Tm1 0.0000 0.0000 0.0000
Tm2 0.6659 0.3318 0.6685
Tm3 0.3341 0.6682 0.3315
In1 0.3907 0.7815 0.7255
In2 0.6093 0.2185 0.2745
```

Values from the calculation:
* raw total energy: -3.05 eV per atom
* symmetry: No. 12
* M_tot: 0.0 Bohr magnetons per cell

***

DFT (PBE) results for crystalline Tm7Mg4In at its relaxed geometry.

```
data_Tm7Mg4In
_cell_length_a 5.6585
_cell_length_b 9.1321
_cell_length_c 7.8537
_cell_angle_alpha 67.22
_cell_angle_beta 68.88
_cell_angle_gamma 71.95
_space_group_name_H-M_alt 'P 1'
_space_group_IT_number 1
_space_group_name_Hall 'P 1'
loop_
_atom_site_label
_atom_site_fract_x
_atom_site_fract_y
_atom_site_fract_z
Mg1 0.6723 0.6429 0.0124
Mg2 0.4572 0.6825 0.4031
Mg3 0.3277 0.3571 0.9876
Mg4 0.5428 0.3175 0.5969
Tm1 0.0903 0.5461 0.2734
Tm2 0.8220 0.8714 0.4846
Tm3 0.1780 0.1286 0.5154
Tm4 0.9097 0.4539 0.7266
Tm5 0.5000 0.0000 0.0000
Tm6 0.7656 0.2641 0.2048
Tm7 0.2344 0.7359 0.7952
In1 0.0000 0.0000 0.0000
```

Values from the calculation:
* raw total energy: -3.27 eV per atom
* symmetry: No. 12
* M_tot: 0.0 Bohr magnetons per cell

***

DFT (PBE) results for crystalline Tm3Mg7In2 at its relaxed geometry.

```
data_Tm3Mg7In2
_cell_length_a 5.9894
_cell_length_b 5.9894
_cell_length_c 10.2211
_cell_angle_alpha 72.96
_cell_angle_beta 72.96
_cell_angle_gamma 60.00
_space_group_name_H-M_alt 'P 1'
_space_group_IT_number 1
_space_group_name_Hall 'P 1'
loop_
_atom_site_label
_atom_site_fract_x
_atom_site_fract_y
_atom_site_fract_z
Tm1 0.0000 0.0000 0.0000
Tm2 0.1455 0.1455 0.5634
Tm3 0.8545 0.8545 0.4366
Mg1 0.4128 0.9218 0.2525
Mg2 0.5000 0.5000 0.5000
Mg3 0.5872 0.5872 0.7475
Mg4 0.9218 0.4128 0.2525
Mg5 0.0782 0.5872 0.7475
Mg6 0.4128 0.4128 0.2525
Mg7 0.5872 0.0782 0.7475
In1 0.3344 0.3344 0.9967
In2 0.6656 0.6656 0.0033
```

Values from the calculation:
* raw total energy: -2.59 eV per atom
* symmetry: No. 166
* M_tot: 0.0 Bohr magnetons per cell

***

DFT (PBE) results for crystalline Tm12Mg2In5 at its relaxed geometry.

```
data_Tm12Mg2In5
_cell_length_a 9.6591
_cell_length_b 8.1948
_cell_length_c 8.3942
_cell_angle_alpha 85.25
_cell_angle_beta 90.00
_cell_angle_gamma 126.11
_space_group_name_H-M_alt 'P 1'
_space_group_IT_number 1
_space_group_name_Hall 'P 1'
loop_
_atom_site_label
_atom_site_fract_x
_atom_site_fract_y
_atom_site_fract_z
Tm1 0.4166 0.8331 0.6841
Tm2 0.6755 0.7102 0.7882
Tm3 0.9653 0.2898 0.2118
Tm4 0.0979 0.1959 0.8617
Tm5 0.5834 0.1669 0.3159
Tm6 0.9021 0.8041 0.1383
Tm7 0.3245 0.2898 0.2118
Tm8 0.0347 0.7102 0.7882
Tm9 0.4051 0.2287 0.6268
Tm10 0.5949 0.7713 0.3732
Tm11 0.1764 0.7713 0.3732
Tm12 0.8236 0.2287 0.6268
In1 0.6838 0.3675 0.9608
In2 0.0000 0.0000 0.5000
In3 0.2231 0.4461 0.5172
In4 0.3162 0.6325 0.0392
In5 0.7769 0.5539 0.4828
Mg1 0.6727 0.0000 0.0000
Mg2 0.3273 0.0000 0.0000
```

Values from the calculation:
* raw total energy: -3.84 eV per atom
* symmetry: No. 12
* M_tot: 0.0 Bohr magnetons per cell